(1)
Here is a relaxed structure of AcLaSmZn from the Alexandria database. Energies are from PBE.

```
4
Lattice="5.6634 0.0000 0.0000 2.8317 4.9046 0.0000 2.8317 1.6349 4.6241" Properties=species:S:1:pos:R:3 pbc="T T T"
Ac 2.8317 1.6349 1.1560
Zn 8.4951 4.9046 3.4681
Sm 0.0000 0.0000 0.0000
La 5.6634 3.2697 2.3121
```

## Properties
Magnetic moment ... 0.000 μB per atom
Electronic total energy ... -0.2670 Ry/atom
Mass density ... 7520 kg/m³
E above lowest polymorph ... 0.266 eV/atom



(2)
Here is a relaxed structure of Ac2LaSn3 from the Alexandria database. Energies are from PBE.

```
12
Lattice="8.8550 0.0437 0.0753 -1.7989 8.6754 -1.7900 -1.7989 -5.8554 6.6468" Properties=species:S:1:pos:R:3 pbc="T T T"
Ac 0.4149 7.5552 -1.1145
Ac 0.4149 -2.4584 4.6996
Ac 4.8424 -4.6915 6.0466
Ac 4.8424 5.3220 0.2325
La 0.4149 2.7592 1.6702
La 4.8424 0.1044 3.2619
Sn -0.7633 -0.3036 2.2209
Sn 3.6642 2.1012 0.8750
Sn -0.8994 4.3377 -0.8950
Sn 6.0206 3.1673 2.7112
Sn 3.5280 -2.9059 3.3611
Sn 1.5931 0.7625 4.0571
```

## Properties
Magnetic moment ... 0.000 μB per atom
Electronic total energy ... -0.3524 Ry/atom
Mass density ... 7497 kg/m³